[1]
The following is a meta-GGA SCAN calculation of PIrC3 at its PBEsol-relaxed geometry, from the Alexandria database.

## Properties
Total energy   -20.15 eV/atom

a = 3.599 Å, b = 3.599 Å, c = 3.599 Å
α = 90.00°, β = 90.00°, γ = 90.00°
Space group Pm-3m (No. 221)
Asymmetric unit:
P: 0.000 0.000 0.000 x1
Ir: 0.500 0.500 0.500 x1
C: 0.000 0.000 0.500 x3


[2]
The following is a meta-GGA SCAN calculation of PIr2C at its PBEsol-relaxed geometry, from the Alexandria database.

## Properties
Total energy   -39.59 eV/atom

a = 5.702 Å, b = 5.702 Å, c = 5.702 Å
α = 90.00°, β = 90.00°, γ = 90.00°
Space group Fm-3m (No. 225)
Asymmetric unit:
P: 0.000 0.000 0.000 x4
Ir: 0.250 0.250 0.250 x8
C: 0.000 0.000 0.500 x4